A relaxed structure of Mo2CO. Source: Alexandria, functional PBE with a Hubbard U.

Results
Excess energy over the best structure of this formula in the dataset ... 0.0 meV per atom

abc: 5.9159 5.9159 5.9159
angles: 131.22 131.22 71.47
Fractional coordinates of all 8 atoms:
Mo 0.1163 0.6250 0.9913
Mo 0.3750 0.3663 0.4913
Mo 0.6337 0.1250 0.0087
Mo 0.8750 0.8837 0.5087
C 0.0000 0.0000 0.0000
C 0.7500 0.2500 0.5000
O 0.2500 0.7500 0.5000
O 0.5000 0.5000 0.0000